Here is a relaxed LiHCl2 crystal from Alexandria via LeMat-Bulk. Energies are from PBEsol.

Output
Its calculated total energy is -13.89 eV/cell. Its space group is R-3m (166). The value obtained for the density of states at the Fermi level is 0.0 states/eV per cell.

```
4
Lattice="-2.386 2.902 -0.437 -3.664 -0.649 -0.675 -3.054 0.746 5.263" Properties=species:S:1:pos:R:3 pbc="T T T"
Cl -6.332 2.251 0.415
H 0.000 0.000 0.000
Cl -2.773 0.747 3.736
Li -4.552 1.499 2.075
```

***

Here is a relaxed K2SrTc crystal from Alexandria via LeMat-Bulk. Energies are from PBEsol.

Output
As for the formation energy: 1333 meV per atom. Its excess energy over the best structure of this formula in the dataset is 141 kJ/mol of formula units. Its space group is Cmmm (65). The value obtained for the density of states at the Fermi level is 5.0 states/eV per cell.

```
4
Lattice="3.552 0.000 0.000 0.000 6.491 0.000 0.000 -3.245 6.379" Properties=species:S:1:pos:R:3 pbc="T T T"
Tc 1.776 3.245 0.000
K 0.000 1.623 3.189
K 0.000 -1.623 3.189
Sr 1.776 0.000 0.000
```

***

Here is a relaxed Li2ZnHg2 crystal from Alexandria via LeMat-Bulk. Energies are from PBEsol.

Output
As for the formation energy: -245 meV per atom. Its space group is P4/mbm (127). The value obtained for the density of states at the Fermi level is 3.3 states/eV per cell.

```
10
Lattice="-2.564 1.377 -1.425 -0.947 -6.026 -4.119 -4.400 -2.842 5.170" Properties=species:S:1:pos:R:3 pbc="T T T"
Hg -4.094 -4.563 2.958
Li -5.625 -5.656 0.970
Zn 0.000 0.000 0.000
Hg -1.253 -4.305 -1.906
Li -3.607 -5.395 -2.408
Hg -1.697 -1.885 1.232
Hg -3.650 -6.983 -0.180
Li -2.286 -1.835 -1.344
Zn -2.673 -4.434 0.526
Li -4.304 -2.096 2.034
```

***

Here is a relaxed ScCo2Te crystal from Alexandria via LeMat-Bulk. Energies are from PBEsol.

Output
Its excess energy over the best structure of this formula in the dataset is 2 kJ/mol of formula units. Its space group is P4/mmm (123). The value obtained for the density of states at the Fermi level is 2.2 states/eV per cell.

```
4
Lattice="-1.212 -0.173 -3.315 1.041 -3.929 -0.175 -3.677 -1.036 1.399" Properties=species:S:1:pos:R:3 pbc="T T T"
Sc -1.924 -2.569 -1.046
Co -1.839 -0.518 0.699
Te -0.606 -0.087 -1.657
Co 0.520 -1.965 -0.088
```

***

Here is a relaxed TcNiAg3 crystal from Alexandria via LeMat-Bulk. Energies are from PBEsol.

Output
As for the formation energy: 1471 meV per atom. Its space group is Pm-3m (221). The value obtained for the density of states at the Fermi level is 5.2 states/eV per cell.

```
5
Lattice="4.598 0.000 0.000 0.000 4.598 0.000 0.000 0.000 4.598" Properties=species:S:1:pos:R:3 pbc="T T T"
Ag 0.000 0.000 2.299
Ag 2.299 0.000 0.000
Ag 0.000 2.299 0.000
Ni 0.000 0.000 0.000
Tc 2.299 2.299 2.299
```

***

Here is a relaxed NaSiB3 crystal from Alexandria via LeMat-Bulk. Energies are from PBEsol.

Output
Its calculated total energy is -13.47 eV/cell. Its space group is Pm-3m (221). The value obtained for the density of states at the Fermi level is 3.0 states/eV per cell.

```
5
Lattice="-1.346 3.665 -1.706 -1.057 -2.054 -3.580 -3.902 -0.708 1.558" Properties=species:S:1:pos:R:3 pbc="T T T"
B -1.951 -0.354 0.779
B -0.673 1.832 -0.853
B -0.528 -1.027 -1.790
Si -3.152 0.452 -1.864
Na 0.000 0.000 0.000
```

***

Here is a relaxed H12PtC6N6O8 crystal from Alexandria via LeMat-Bulk. Energies are from PBEsol.

Output
Its calculated total energy is -438.65 eV/cell. Its space group is P2_1/c (14). The value obtained for the density of states at the Fermi level is 0.0 states/eV per cell.

```
66
Lattice="-2.482 0.377 2.590 -7.967 0.264 -9.205 -1.427 -14.930 0.807" Properties=species:S:1:pos:R:3 pbc="T T T"
H -2.412 -6.148 1.204
H -9.464 -8.141 -7.011
H -9.575 -5.585 -6.421
O -3.005 -6.382 -0.700
N -9.814 -5.304 -7.381
C -5.333 -2.659 -3.275
C -8.349 -5.873 -3.907
H -7.296 -9.837 -3.248
C -8.016 -13.585 -6.217
N -10.047 -10.341 -5.989
N -4.835 -3.480 -2.348
C -9.464 -4.080 -7.794
H -6.733 -13.266 -3.735
N -6.435 -12.934 -2.808
C -8.416 -7.398 -4.076
H -2.301 -8.704 0.614
O -8.871 -7.907 -5.108
O -7.374 -0.830 -7.638
H -2.276 -4.645 -0.426
O -4.419 -1.465 -0.386
C -3.860 -0.704 0.409
C -5.066 -14.151 0.884
H -3.496 -11.893 1.459
C -3.460 -6.891 -1.731
H -6.059 -2.414 -5.142
N -6.131 -11.175 -1.349
H -3.297 -10.646 0.221
Pt -4.697 -7.333 -4.199
O -8.438 -13.225 -7.396
O -3.113 -9.179 -1.024
H -5.601 -4.090 -4.747
H -4.528 -3.064 -1.465
C -2.412 -10.209 1.986
H -9.600 -9.644 -5.382
H -6.275 -10.199 -1.060
O -4.021 -8.814 -3.040
O -7.984 -8.079 -3.055
N -3.065 -11.015 1.147
C -3.526 -8.416 -1.901
H -5.817 -11.875 -0.666
C -6.543 -11.630 -2.532
N -7.041 -10.809 -3.459
O -7.855 -5.475 -2.768
O -7.457 -12.824 -5.422
H -4.580 -4.452 -2.560
H -8.579 -3.643 -6.029
O -3.438 -1.064 1.589
Pt 0.000 0.000 0.000
O -8.763 -5.110 -4.784
O -4.502 -13.459 1.831
N -5.441 -1.355 -3.000
H -5.984 -13.542 -2.124
H -5.892 -0.747 -3.684
H -1.506 -3.053 -0.208
O -3.892 -6.210 -2.752
N -8.811 -3.274 -6.954
O -6.449 -0.611 -5.607
H -5.143 -1.023 -2.072
N -5.745 -3.114 -4.458
C -6.810 -0.138 -6.692
O -5.427 -13.678 -0.200
N -1.829 -3.948 0.182
H -7.348 -11.225 -4.343
H -10.370 -11.236 -5.600
H -8.380 -2.396 -7.266
N -2.062 -8.985 1.574
```

***

Here is a relaxed Dy4Ga12Ni crystal from Alexandria via LeMat-Bulk. Energies are from PBEsol.

Output
As for the formation energy: -626 meV per atom. Its space group is Im-3m (229). The value obtained for the density of states at the Fermi level is 3.4 states/eV per cell.

```
17
Lattice="-5.736 -4.487 -0.592 6.178 -3.888 -0.328 -0.319 3.531 6.389" Properties=species:S:1:pos:R:3 pbc="T T T"
Ga 1.683 -0.102 1.741
Ga 4.175 -0.254 4.320
Ga 0.127 -2.406 -0.264
Ga 1.686 -4.277 1.055
Ga 3.040 -2.272 2.800
Ga 1.416 -0.417 4.480
Ga -4.315 -0.681 4.131
Ga -1.293 -4.427 0.989
Dy 3.089 -1.944 -0.164
Dy -0.160 1.766 3.194
Ni 0.000 0.000 0.000
Ga -1.563 -0.567 4.414
Ga -2.917 -2.572 2.669
Dy 0.061 -2.422 2.734
Dy -2.868 -2.244 -0.296
Ga -1.740 -0.275 1.665
Ga 0.315 -5.969 -0.656
```

***

Here is a relaxed GePRhS2 crystal from Alexandria via LeMat-Bulk. Energies are from PBEsol.

Output
Its calculated total energy is -25.46 eV/cell. Its space group is P4/mmm (123). The value obtained for the density of states at the Fermi level is 4.3 states/eV per cell.

```
5
Lattice="4.258 0.000 0.000 0.000 4.801 0.000 0.000 0.000 4.801" Properties=species:S:1:pos:R:3 pbc="T T T"
S 0.000 2.401 0.000
Rh 0.000 0.000 0.000
Ge 2.129 2.401 2.401
S 0.000 0.000 2.401
P 2.129 0.000 0.000
```

***

Here is a relaxed AsWCl crystal from Alexandria via LeMat-Bulk. Energies are from PBEsol.

Output
Its excess energy over the best structure of this formula in the dataset is 152 kJ/mol of formula units. Its space group is Imm2 (44). The value obtained for the density of states at the Fermi level is 1.8 states/eV per cell.

```
3
Lattice="2.881 0.000 0.000 0.000 4.241 0.000 -1.440 -2.120 4.001" Properties=species:S:1:pos:R:3 pbc="T T T"
W 0.000 0.000 2.844
Cl 1.440 2.120 1.215
As 1.440 2.120 3.943
```

***

Here is a relaxed BaPF3 crystal from Alexandria via LeMat-Bulk. Energies are from PBEsol.

Output
Its calculated total energy is -21.56 eV/cell. Its space group is Pm-3m (221). The value obtained for the density of states at the Fermi level is 8.7 states/eV per cell.

```
5
Lattice="-2.944 2.591 -3.109 -4.030 -2.228 1.959 -0.370 3.657 3.397" Properties=species:S:1:pos:R:3 pbc="T T T"
F -3.487 0.181 -0.575
F -2.200 0.714 2.678
P 0.000 0.000 0.000
F -1.657 3.124 0.144
Ba -3.672 2.009 1.123
```

***

Here is a relaxed LiGa2As2 crystal from Alexandria via LeMat-Bulk. Energies are from PBEsol.

Output
As for the formation energy: -126 meV per atom. Its space group is I4/mmm (139). The value obtained for the density of states at the Fermi level is 1.5 states/eV per cell.

```
5
Lattice="4.742 0.000 0.000 0.000 4.742 0.000 -2.371 -2.371 4.509" Properties=species:S:1:pos:R:3 pbc="T T T"
As 2.371 0.000 2.255
As 0.000 2.371 2.255
Ga 0.000 0.000 3.304
Li 0.000 0.000 0.000
Ga 2.371 2.371 1.205
```

***

Here is a relaxed CsEr2Cl7 crystal from Alexandria via LeMat-Bulk. Energies are from PBEsol.

Output
Its calculated total energy is -190.52 eV/cell. Its space group is Pnma (62). The value obtained for the density of states at the Fermi level is 0.0 states/eV per cell.

```
40
Lattice="-4.671 -4.691 -1.687 6.423 -2.718 -10.229 6.981 -9.430 6.889" Properties=species:S:1:pos:R:3 pbc="T T T"
Er 5.319 -12.153 -1.686
Cl 2.698 -9.823 -7.630
Er 3.413 -4.686 -3.340
Cl 3.765 -9.295 1.784
Cl 1.078 -1.379 0.582
Cl -1.167 -3.634 -0.229
Cl 8.120 -10.783 -6.074
Cl 5.271 -11.192 -4.226
Er 7.236 -12.933 -4.826
Cs 4.542 -13.164 3.279
Cl 4.256 -14.043 -0.141
Cl 3.594 -7.299 -3.758
Er 4.385 -8.520 -9.203
Cl 6.034 -7.016 2.604
Cl 2.405 -6.741 -8.665
Cl 4.968 -7.544 -6.810
Cl 7.655 -15.460 -5.608
Cl 0.871 -4.833 -2.611
Er 2.401 -7.649 -6.129
Cl 7.384 -7.286 -0.457
Cs 1.629 -8.694 -1.087
Cs 4.191 -3.675 -8.305
Cl 6.504 -11.787 0.670
Cl 9.900 -13.205 -4.797
Er 1.496 -3.906 -0.200
Er 4.347 -8.319 4.176
Cl 5.592 -14.285 -3.234
Er 6.332 -9.190 1.103
Cl 0.613 -6.056 1.048
Cl 3.141 -2.554 -1.792
Cl 5.139 -9.540 -1.268
Cl 7.862 -12.006 -2.415
Cl 4.476 -2.796 -4.885
Cs 7.103 -8.145 -3.939
Cl -1.634 -8.313 0.236
Cl 6.328 -10.098 3.639
Cl 1.348 -9.553 -4.569
Cl 2.229 -5.052 -5.696
Cl 3.461 -5.647 -0.800
Cl 10.367 -8.526 -5.262
```

***

Here is a relaxed RbGeAs2Se crystal from Alexandria via LeMat-Bulk. Energies are from PBEsol.

Output
Its excess energy over the best structure of this formula in the dataset is 0 kJ/mol of formula units. Its space group is P4/mmm (123). The value obtained for the density of states at the Fermi level is 5.3 states/eV per cell.

```
5
Lattice="5.021 0.000 0.000 0.000 5.021 0.000 0.000 0.000 5.251" Properties=species:S:1:pos:R:3 pbc="T T T"
As 2.510 0.000 0.000
As 0.000 2.510 0.000
Ge 0.000 0.000 0.000
Rb 2.510 2.510 2.626
Se 0.000 0.000 2.626
```

***

Here is a relaxed Ba2LaHg crystal from Alexandria via LeMat-Bulk. Energies are from PBEsol.

Output
As for the formation energy: -226 meV per atom. Its space group is P4mm (99). The value obtained for the density of states at the Fermi level is 5.5 states/eV per cell.

```
4
Lattice="4.035 0.000 0.000 0.000 4.035 0.000 0.000 0.000 9.930" Properties=species:S:1:pos:R:3 pbc="T T T"
Ba 2.018 2.018 3.126
Hg 0.000 0.000 5.284
La 2.018 2.018 6.835
Ba 0.000 0.000 9.580
```

***

Here is a relaxed KZr2Fe crystal from Alexandria via LeMat-Bulk. Energies are from PBEsol.

Output
As for the formation energy: 467 meV per atom. Its space group is Pmm2 (25). The value obtained for the density of states at the Fermi level is 4.1 states/eV per cell.

```
4
Lattice="3.400 0.000 0.000 0.000 3.565 0.000 0.000 0.000 8.702" Properties=species:S:1:pos:R:3 pbc="T T T"
Zr 0.000 0.000 0.810
Fe 0.000 0.000 3.208
K 1.700 1.782 6.247
Zr 1.700 1.782 2.788
```

***

Here is a relaxed ZnCu2Ni crystal from Alexandria via LeMat-Bulk. Energies are from PBEsol.

Output
As for the formation energy: -65 meV per atom. Its space group is Cmmm (65). The value obtained for the density of states at the Fermi level is 1.8 states/eV per cell.

```
4
Lattice="-0.292 -2.413 0.769 2.472 0.819 3.505 -4.194 0.800 0.917" Properties=species:S:1:pos:R:3 pbc="T T T"
Zn -1.007 -0.397 2.596
Cu -2.097 0.400 0.459
Cu 1.236 0.410 1.753
Ni -0.146 -1.206 0.385
```

***

Here is a relaxed Mn2NiO4 crystal from Alexandria via LeMat-Bulk. Energies are from PBEsol.

Output
Its calculated total energy is -112.35 eV/cell. Its space group is Imma (74). The value obtained for the density of states at the Fermi level is 10.5 states/eV per cell.

```
14
Lattice="-0.460 -1.972 5.351 4.115 -2.001 -3.443 0.293 5.359 2.000" Properties=species:S:1:pos:R:3 pbc="T T T"
O 3.908 0.591 1.945
O -0.170 -0.102 4.398
O 4.117 1.488 -0.489
O 1.700 -1.011 2.832
Ni 2.717 -2.556 2.350
O 0.040 0.795 1.963
O 1.833 1.425 3.741
Mn 2.204 1.679 -0.721
Mn -0.230 -0.986 2.675
Mn 1.974 0.693 1.954
O 2.115 -0.039 0.167
O 2.248 2.397 1.077
Mn -0.083 1.693 3.676
Ni 1.231 3.942 1.559
```

***

Here is a relaxed SnMoI2N crystal from Alexandria via LeMat-Bulk. Energies are from PBEsol.

Output
Its calculated total energy is -21.77 eV/cell. Its space group is P4/mmm (123). The value obtained for the density of states at the Fermi level is 2.4 states/eV per cell.

```
5
Lattice="-0.777 3.719 -0.470 -2.526 -1.194 -5.277 -5.273 -0.761 2.697" Properties=species:S:1:pos:R:3 pbc="T T T"
Mo -4.288 0.882 -1.525
I -2.637 -0.380 1.348
Sn 0.000 0.000 0.000
I -1.263 -0.597 -2.639
N -0.388 1.859 -0.235
```

***

Here is a relaxed AgHg2Au crystal from Alexandria via LeMat-Bulk. Energies are from PBEsol.

Output
As for the formation energy: 54 meV per atom. Its space group is P4/mmm (123). The value obtained for the density of states at the Fermi level is 1.2 states/eV per cell.

```
4
Lattice="3.326 0.000 0.000 0.000 3.326 0.000 0.000 0.000 6.778" Properties=species:S:1:pos:R:3 pbc="T T T"
Hg 0.000 0.000 1.686
Ag 1.663 1.663 0.000
Hg 0.000 0.000 5.092
Au 1.663 1.663 3.389
```

***

Here is a relaxed CaAg2Pd2 crystal from Alexandria via LeMat-Bulk. Energies are from PBEsol.

Output
As for the formation energy: -148 meV per atom. Its space group is I4/mmm (139). The value obtained for the density of states at the Fermi level is 1.9 states/eV per cell.

```
5
Lattice="3.929 0.000 0.000 0.000 3.929 0.000 -1.964 -1.964 6.253" Properties=species:S:1:pos:R:3 pbc="T T T"
Pd 1.964 0.000 3.127
Pd 0.000 1.964 3.127
Ag 0.000 0.000 4.949
Ca 0.000 0.000 0.000
Ag 1.964 1.964 1.304
```

***

Here is a relaxed BaAl2Ir crystal from Alexandria via LeMat-Bulk. Energies are from PBEsol.

Output
As for the formation energy: 126 meV per atom. Its space group is I4/mmm (139). The value obtained for the density of states at the Fermi level is 2.8 states/eV per cell.

```
4
Lattice="4.756 0.000 0.000 -2.378 4.238 0.001 0.000 2.668 3.938" Properties=species:S:1:pos:R:3 pbc="T T T"
Ba 2.378 1.334 1.969
Al 2.378 4.120 2.954
Al 0.000 2.786 0.985
Ir 0.000 0.000 0.000
```